A relaxed Nd2ErTm4Sc crystal. Source: Alexandria, functional PBE-GGA.

Spin magnetization = 0.000 Bohr magnetons per cell
Symmetry = No. 123
Volume = 30.633 Å³/atom
VASP energy = -4.75 eV per atom

Unit cell a=4.987 b=4.987 c=9.853 alpha=90.00 beta=90.00 gamma=90.00
Fractional coordinates of all 8 atoms:
Nd 0.000 0.000 0.000
Nd 0.500 0.500 0.500
Er 0.000 0.000 0.500
Tm 0.000 0.500 0.246
Tm 0.000 0.500 0.754
Tm 0.500 0.000 0.246
Tm 0.500 0.000 0.754
Sc 0.500 0.500 0.000

A relaxed AcGaHgPt3 crystal. Source: Alexandria, functional PBE-GGA.

Spin magnetization = 0.000 Bohr magnetons per cell
Symmetry = No. 63
Volume = 22.917 Å³/atom
VASP energy = -4.79 eV per atom

Unit cell a=7.293 b=7.293 c=5.935 alpha=90.00 beta=90.00 gamma=119.39
Fractional coordinates of all 12 atoms:
Ac 0.203 0.797 0.750
Ac 0.797 0.203 0.250
Ga 0.115 0.885 0.250
Ga 0.885 0.115 0.750
Hg 0.463 0.537 0.750
Hg 0.537 0.463 0.250
Pt 0.195 0.195 0.000
Pt 0.195 0.195 0.500
Pt 0.307 0.693 0.250
Pt 0.693 0.307 0.750
Pt 0.805 0.805 0.000
Pt 0.805 0.805 0.500

A relaxed Sc2TcF2 crystal. Source: Alexandria, functional PBE-GGA.

Relative energy among the computed polymorphs = 0.0 kJ per mole of atoms
Formation energy (no corrections) = -1.98 eV per atom
Spin magnetization = 0.000 Bohr magnetons per cell
Symmetry = No. 139
Volume = 14.128 Å³/atom
VASP energy = -7.34 eV per atom

Unit cell a=3.345 b=3.345 c=12.627 alpha=90.00 beta=90.00 gamma=90.00
Fractional coordinates of all 10 atoms:
Sc 0.000 0.000 0.131
Sc 0.000 0.000 0.869
Sc 0.500 0.500 0.369
Sc 0.500 0.500 0.631
Tc 0.000 0.000 0.500
Tc 0.500 0.500 0.000
F 0.000 0.500 0.250
F 0.000 0.500 0.750
F 0.500 0.000 0.250
F 0.500 0.000 0.750

A relaxed Mg2H4Ir crystal. Source: Alexandria, functional PBE-GGA.

Relative energy among the computed polymorphs = 8.6 kJ per mole of atoms
Spin magnetization = 0.000 Bohr magnetons per cell
Symmetry = No. 1
Volume = 11.403 Å³/atom
VASP energy = -3.93 eV per atom

Unit cell a=3.716 b=5.032 c=5.049 alpha=92.56 beta=111.56 gamma=111.66
Fractional coordinates of all 7 atoms:
Mg 0.000 0.000 0.000
Mg 0.053 0.496 0.608
H 0.045 0.768 0.318
H 0.354 0.324 0.382
H 0.614 0.318 0.911
H 0.792 0.029 0.554
Ir 0.332 0.067 0.596

A relaxed V2CrMo crystal. Source: Alexandria, functional PBE-GGA.

Relative energy among the computed polymorphs = 0.0 kJ per mole of atoms
Spin magnetization = 0.000 Bohr magnetons per cell
Symmetry = No. 225
Volume = 13.522 Å³/atom
VASP energy = -9.76 eV per atom

Unit cell a=6.003 b=6.003 c=6.003 alpha=90.00 beta=90.00 gamma=90.00
Fractional coordinates of all 16 atoms:
V 0.250 0.250 0.250
V 0.250 0.250 0.750
V 0.250 0.750 0.250
V 0.250 0.750 0.750
V 0.750 0.250 0.250
V 0.750 0.250 0.750
V 0.750 0.750 0.250
V 0.750 0.750 0.750
Cr 0.000 0.000 0.000
Cr 0.000 0.500 0.500
Cr 0.500 0.000 0.500
Cr 0.500 0.500 0.000
Mo 0.000 0.000 0.500
Mo 0.000 0.500 0.000
Mo 0.500 0.000 0.000
Mo 0.500 0.500 0.500

A relaxed Ho3Ge3Ir2 crystal. Source: Alexandria, functional PBE-GGA.

Relative energy among the computed polymorphs = 4.6 kJ per mole of atoms
Spin magnetization = 0.000 Bohr magnetons per cell
Symmetry = No. 62
Volume = 20.375 Å³/atom
VASP energy = -6.55 eV per atom

Unit cell a=8.133 b=14.198 c=5.647 alpha=90.00 beta=90.00 gamma=90.00
Fractional coordinates of all 32 atoms:
Ho 0.043 0.113 0.118
Ho 0.043 0.387 0.118
Ho 0.190 0.250 0.635
Ho 0.310 0.750 0.135
Ho 0.457 0.613 0.618
Ho 0.457 0.887 0.618
Ho 0.543 0.113 0.382
Ho 0.543 0.387 0.382
Ho 0.690 0.250 0.865
Ho 0.810 0.750 0.365
Ho 0.957 0.613 0.882
Ho 0.957 0.887 0.882
Ge 0.165 0.750 0.613
Ge 0.202 0.037 0.626
Ge 0.202 0.463 0.626
Ge 0.298 0.537 0.126
Ge 0.298 0.963 0.126
Ge 0.335 0.250 0.113
Ge 0.665 0.750 0.887
Ge 0.702 0.037 0.874
Ge 0.702 0.463 0.874
Ge 0.798 0.537 0.374
Ge 0.798 0.963 0.374
Ge 0.835 0.250 0.387
Ir 0.077 0.599 0.383
Ir 0.077 0.901 0.383
Ir 0.423 0.099 0.883
Ir 0.423 0.401 0.883
Ir 0.577 0.599 0.117
Ir 0.577 0.901 0.117
Ir 0.923 0.099 0.617
Ir 0.923 0.401 0.617

A relaxed KNaGe2Ir crystal. Source: Alexandria, functional PBE-GGA.

Spin magnetization = 0.599 Bohr magnetons per cell
Symmetry = No. 123
Volume = 25.795 Å³/atom
VASP energy = -4.16 eV per atom

Unit cell a=4.814 b=4.814 c=5.565 alpha=90.00 beta=90.00 gamma=90.00
Fractional coordinates of all 5 atoms:
K 0.000 0.000 0.000
Na 0.500 0.500 0.000
Ge 0.000 0.500 0.500
Ge 0.500 0.000 0.500
Ir 0.500 0.500 0.500

A relaxed AlP2 crystal. Source: Alexandria, functional PBE-GGA.

Spin magnetization = 0.000 Bohr magnetons per cell
Symmetry = No. 63
Volume = 16.113 Å³/atom
VASP energy = -4.79 eV per atom

Unit cell a=3.536 b=17.225 c=3.174 alpha=90.00 beta=90.00 gamma=90.00
Fractional coordinates of all 12 atoms:
Al 0.000 0.112 0.250
Al 0.000 0.888 0.750
Al 0.500 0.388 0.750
Al 0.500 0.612 0.250
P 0.000 0.234 0.750
P 0.000 0.448 0.250
P 0.000 0.552 0.750
P 0.000 0.766 0.250
P 0.500 0.052 0.750
P 0.500 0.266 0.250
P 0.500 0.734 0.750
P 0.500 0.948 0.250

A relaxed HfTl2Ge crystal. Source: Alexandria, functional PBE-GGA.

Relative energy among the computed polymorphs = 0.0 kJ per mole of atoms
Spin magnetization = 0.000 Bohr magnetons per cell
Symmetry = No. 122
Volume = 24.332 Å³/atom
VASP energy = -4.46 eV per atom

Unit cell a=8.162 b=8.162 c=5.844 alpha=90.00 beta=90.00 gamma=90.00
Fractional coordinates of all 16 atoms:
Hf 0.000 0.000 0.000
Hf 0.000 0.500 0.250
Hf 0.500 0.000 0.750
Hf 0.500 0.500 0.500
Tl 0.238 0.250 0.625
Tl 0.250 0.738 0.875
Tl 0.250 0.762 0.375
Tl 0.262 0.250 0.125
Tl 0.738 0.750 0.125
Tl 0.750 0.238 0.375
Tl 0.750 0.262 0.875
Tl 0.762 0.750 0.625
Ge 0.000 0.000 0.500
Ge 0.000 0.500 0.750
Ge 0.500 0.000 0.250
Ge 0.500 0.500 0.000

A relaxed NaHf2AlSn crystal. Source: Alexandria, functional PBE-GGA.

Spin magnetization = 0.000 Bohr magnetons per cell
Symmetry = No. 123
Volume = 27.252 Å³/atom
VASP energy = -5.01 eV per atom

Unit cell a=5.089 b=5.089 c=5.262 alpha=90.00 beta=90.00 gamma=90.00
Fractional coordinates of all 5 atoms:
Na 0.000 0.000 0.000
Hf 0.000 0.500 0.500
Hf 0.500 0.000 0.500
Al 0.500 0.500 0.500
Sn 0.500 0.500 0.000

A relaxed PPbSe2 crystal. Source: Alexandria, functional PBE-GGA.

Relative energy among the computed polymorphs = 45.3 kJ per mole of atoms
Formation energy (no corrections) = 0.34 eV per atom
Spin magnetization = 0.000 Bohr magnetons per cell
Symmetry = No. 119
Volume = 26.746 Å³/atom
VASP energy = -3.68 eV per atom

Unit cell a=3.915 b=3.915 c=13.958 alpha=90.00 beta=90.00 gamma=90.00
Fractional coordinates of all 8 atoms:
P 0.000 0.000 0.000
P 0.500 0.500 0.500
Pb 0.000 0.500 0.750
Pb 0.500 0.000 0.250
Se 0.000 0.000 0.500
Se 0.000 0.500 0.250
Se 0.500 0.000 0.750
Se 0.500 0.500 0.000

A relaxed FeS crystal. Source: Alexandria, functional PBE-GGA.

Formation energy (no corrections) = -0.23 eV per atom
Spin magnetization = 0.817 Bohr magnetons per cell
Symmetry = No. 186
Volume = 15.046 Å³/atom
VASP energy = -6.52 eV per atom

Unit cell a=3.361 b=3.361 c=6.153 alpha=90.00 beta=90.00 gamma=120.00
Fractional coordinates of all 4 atoms:
Fe 0.333 0.667 0.000
Fe 0.667 0.333 0.500
S 0.333 0.667 0.643
S 0.667 0.333 0.143

A relaxed CrRu2Au crystal. Source: Alexandria, functional PBE-GGA.

Relative energy among the computed polymorphs = 14.2 kJ per mole of atoms
Spin magnetization = 1.076 Bohr magnetons per cell
Symmetry = No. 10
Volume = 14.735 Å³/atom
VASP energy = -7.52 eV per atom

Unit cell a=2.789 b=3.956 c=5.412 alpha=90.00 beta=99.21 gamma=90.00
Fractional coordinates of all 4 atoms:
Cr 0.000 0.000 0.000
Ru 0.382 0.500 0.225
Ru 0.618 0.500 0.775
Au 0.000 0.000 0.500

A relaxed CaSeS2Cl crystal. Source: Alexandria, functional PBE-GGA.

Relative energy among the computed polymorphs = 0.0 kJ per mole of atoms
Formation energy (no corrections) = -0.54 eV per atom
Spin magnetization = 0.000 Bohr magnetons per cell
Symmetry = No. 123
Volume = 23.631 Å³/atom
VASP energy = -3.65 eV per atom

Unit cell a=4.961 b=4.961 c=4.800 alpha=90.00 beta=90.00 gamma=90.00
Fractional coordinates of all 5 atoms:
Ca 0.000 0.000 0.000
Se 0.500 0.500 0.500
S 0.000 0.500 0.500
S 0.500 0.000 0.500
Cl 0.500 0.500 0.000

A relaxed TaZnTc crystal. Source: Alexandria, functional PBE-GGA.

Relative energy among the computed polymorphs = 9.0 kJ per mole of atoms
Spin magnetization = 0.000 Bohr magnetons per cell
Symmetry = No. 156
Volume = 15.739 Å³/atom
VASP energy = -7.90 eV per atom

Unit cell a=4.462 b=4.462 c=2.738 alpha=90.00 beta=90.00 gamma=120.00
Fractional coordinates of all 3 atoms:
Ta 0.000 0.000 0.000
Zn 0.333 0.667 0.604
Tc 0.667 0.333 0.283

A relaxed CeSnAs crystal. Source: Alexandria, functional PBE-GGA.

Spin magnetization = 1.790 Bohr magnetons per cell
Symmetry = No. 166
Volume = 28.594 Å³/atom
VASP energy = -5.56 eV per atom

Unit cell a=8.076 b=8.076 c=8.076 alpha=37.08 beta=37.08 gamma=37.08
Fractional coordinates of all 6 atoms:
Ce 0.092 0.092 0.092
Ce 0.908 0.908 0.908
Sn 0.343 0.343 0.343
Sn 0.657 0.657 0.657
As 0.220 0.220 0.220
As 0.780 0.780 0.780

A relaxed Al2AgBOs crystal. Source: Alexandria, functional PBE-GGA.

Spin magnetization = 0.000 Bohr magnetons per cell
Symmetry = No. 123
Volume = 22.642 Å³/atom
VASP energy = -4.24 eV per atom

Unit cell a=4.681 b=4.681 c=5.166 alpha=90.00 beta=90.00 gamma=90.00
Fractional coordinates of all 5 atoms:
Al 0.000 0.500 0.000
Al 0.500 0.000 0.000
Ag 0.000 0.000 0.500
B 0.500 0.500 0.500
Os 0.000 0.000 0.000

A relaxed BaNpCu2O6 crystal. Source: Alexandria, functional PBE-GGA.

Formation energy (no corrections) = -1.92 eV per atom
Spin magnetization = 0.996 Bohr magnetons per cell
Symmetry = No. 148
Volume = 16.046 Å³/atom
VASP energy = -7.20 eV per atom

Unit cell a=6.650 b=6.650 c=6.650 alpha=50.31 beta=50.31 gamma=50.31
Fractional coordinates of all 10 atoms:
Ba 0.000 0.000 0.000
Np 0.500 0.500 0.500
Cu 0.231 0.231 0.231
Cu 0.769 0.769 0.769
O 0.122 0.466 0.702
O 0.298 0.878 0.534
O 0.466 0.702 0.122
O 0.534 0.298 0.878
O 0.702 0.122 0.466
O 0.878 0.534 0.298

A relaxed Pm3Zn3Ir crystal. Source: Alexandria, functional PBE-GGA.

Spin magnetization = 0.000 Bohr magnetons per cell
Symmetry = No. 12
Volume = 23.446 Å³/atom
VASP energy = -4.27 eV per atom

Unit cell a=5.869 b=5.869 c=15.518 alpha=104.67 beta=104.67 gamma=39.61
Fractional coordinates of all 14 atoms:
Pm 0.021 0.021 0.386
Pm 0.124 0.124 0.923
Pm 0.235 0.235 0.239
Pm 0.765 0.765 0.761
Pm 0.876 0.876 0.077
Pm 0.979 0.979 0.614
Zn 0.333 0.333 0.466
Zn 0.404 0.404 0.925
Zn 0.483 0.483 0.773
Zn 0.517 0.517 0.227
Zn 0.596 0.596 0.075
Zn 0.667 0.667 0.534
Ir 0.283 0.283 0.630
Ir 0.717 0.717 0.370

A relaxed Sm4Ge8Os crystal. Source: Alexandria, functional PBE-GGA.

Spin magnetization = 0.000 Bohr magnetons per cell
Symmetry = No. 25
Volume = 21.970 Å³/atom
VASP energy = -5.71 eV per atom

Unit cell a=4.088 b=4.282 c=16.316 alpha=90.00 beta=90.00 gamma=90.00
Fractional coordinates of all 13 atoms:
Sm 0.000 0.000 0.000
Sm 0.000 0.500 0.489
Sm 0.500 0.000 0.793
Sm 0.500 0.500 0.286
Ge 0.000 0.000 0.335
Ge 0.000 0.000 0.628
Ge 0.000 0.500 0.140
Ge 0.000 0.500 0.853
Ge 0.500 0.000 0.146
Ge 0.500 0.000 0.440
Ge 0.500 0.500 0.623
Ge 0.500 0.500 0.955
Os 0.000 0.500 0.703

A relaxed YTiSi2Ru crystal. Source: Alexandria, functional PBE-GGA.

Relative energy among the computed polymorphs = 0.0 kJ per mole of atoms
Formation energy (no corrections) = -0.84 eV per atom
Spin magnetization = 0.000 Bohr magnetons per cell
Symmetry = No. 119
Volume = 17.276 Å³/atom
VASP energy = -7.74 eV per atom

Unit cell a=3.992 b=3.992 c=10.843 alpha=90.00 beta=90.00 gamma=90.00
Fractional coordinates of all 10 atoms:
Y 0.000 0.000 0.000
Y 0.500 0.500 0.500
Ti 0.000 0.500 0.750
Ti 0.500 0.000 0.250
Si 0.000 0.000 0.389
Si 0.000 0.000 0.611
Si 0.500 0.500 0.111
Si 0.500 0.500 0.889
Ru 0.000 0.500 0.250
Ru 0.500 0.000 0.750

A relaxed LiAg7Pd3 crystal. Source: Alexandria, functional PBE-GGA.

Spin magnetization = 0.000 Bohr magnetons per cell
Symmetry = No. 12
Volume = 18.134 Å³/atom
VASP energy = -3.32 eV per atom

Unit cell a=6.909 b=6.909 c=4.770 alpha=110.07 beta=110.07 gamma=89.29
Fractional coordinates of all 11 atoms:
Li 0.000 0.000 0.000
Ag 0.000 0.000 0.500
Ag 0.094 0.563 0.829
Ag 0.309 0.309 0.311
Ag 0.437 0.906 0.171
Ag 0.563 0.094 0.829
Ag 0.691 0.691 0.689
Ag 0.906 0.437 0.171
Pd 0.275 0.725 0.500
Pd 0.500 0.500 0.000
Pd 0.725 0.275 0.500

A relaxed ZrTlNi2Se crystal. Source: Alexandria, functional PBE-GGA.

Formation energy (no corrections) = 0.47 eV per atom
Spin magnetization = 0.000 Bohr magnetons per cell
Symmetry = No. 123
Volume = 24.515 Å³/atom
VASP energy = -4.73 eV per atom

Unit cell a=4.874 b=4.874 c=5.160 alpha=90.00 beta=90.00 gamma=90.00
Fractional coordinates of all 5 atoms:
Zr 0.000 0.000 0.000
Tl 0.500 0.500 0.500
Ni 0.000 0.500 0.000
Ni 0.500 0.000 0.000
Se 0.000 0.000 0.500

A relaxed Ca2CdSe2 crystal. Source: Alexandria, functional PBE-GGA.

Relative energy among the computed polymorphs = 9.0 kJ per mole of atoms
Formation energy (no corrections) = -1.21 eV per atom
Spin magnetization = 0.000 Bohr magnetons per cell
Symmetry = No. 139
Volume = 35.748 Å³/atom
VASP energy = -3.59 eV per atom

Unit cell a=5.368 b=5.368 c=12.407 alpha=90.00 beta=90.00 gamma=90.00
Fractional coordinates of all 10 atoms:
Ca 0.000 0.500 0.250
Ca 0.000 0.500 0.750
Ca 0.500 0.000 0.250
Ca 0.500 0.000 0.750
Cd 0.000 0.000 0.000
Cd 0.500 0.500 0.500
Se 0.000 0.000 0.331
Se 0.000 0.000 0.669
Se 0.500 0.500 0.169
Se 0.500 0.500 0.831

A relaxed Mn2RhW crystal. Source: Alexandria, functional PBE-GGA.

Relative energy among the computed polymorphs = 14.0 kJ per mole of atoms
Spin magnetization = 4.469 Bohr magnetons per cell
Symmetry = No. 12
Volume = 13.362 Å³/atom
VASP energy = -9.53 eV per atom

Unit cell a=8.729 b=2.651 c=4.685 alpha=90.00 beta=99.60 gamma=90.00
Fractional coordinates of all 8 atoms:
Mn 0.245 0.000 0.242
Mn 0.255 0.500 0.758
Mn 0.745 0.500 0.242
Mn 0.755 0.000 0.758
Rh 0.000 0.500 0.000
Rh 0.500 0.000 0.000
W 0.000 0.000 0.500
W 0.500 0.500 0.500